Record 1
This record from Alexandria via LeMat-Bulk describes a geometry-optimized Ho4TlSn structure. The functional is PBE-GGA.

## Properties
The energy of formation from the pure elements is -0.17 eV per atom. For the total magnetization, the calculation gives 0.000 μB/atom.

Geometry as CIF:
```
data_Ho4TlSn
_chemical_formula_sum 'Ho16 Tl4 Sn4'
_cell_length_a 16.8299
_cell_length_b 6.0712
_cell_length_c 7.4245
_cell_angle_alpha 90.00
_cell_angle_beta 102.13
_cell_angle_gamma 90.00
_symmetry_space_group_name_H-M 'C 1 2/c 1'
_symmetry_Int_Tables_number 15
_symmetry_space_group_name_Hall '-C 2yc'
loop_
_atom_site_label
_atom_site_type_symbol
_atom_site_fract_x
_atom_site_fract_y
_atom_site_fract_z
Ho1 Ho 0.0712 0.1243 0.4402
Ho2 Ho 0.1468 0.3738 0.1059
Tl1 Tl 0.2500 0.2500 0.5000
Sn1 Sn 0.0000 0.3712 0.7500
```

=====

Record 2
This record from Alexandria via LeMat-Bulk describes a geometry-optimized Ho8Tl2Sn structure. The functional is PBE-GGA.

## Properties
The energy of formation from the pure elements is -0.26 eV per atom. For the total magnetization, the calculation gives 0.000 μB/atom.

Geometry as CIF:
```
data_Ho8Tl2Sn
_chemical_formula_sum 'Ho16 Tl4 Sn2'
_cell_length_a 16.3253
_cell_length_b 5.2655
_cell_length_c 8.4841
_cell_angle_alpha 90.00
_cell_angle_beta 119.96
_cell_angle_gamma 90.00
_symmetry_space_group_name_H-M 'C 1 2/m 1'
_symmetry_Int_Tables_number 12
_symmetry_space_group_name_Hall '-C 2y'
loop_
_atom_site_label
_atom_site_type_symbol
_atom_site_fract_x
_atom_site_fract_y
_atom_site_fract_z
Ho1 Ho 0.0626 0.0000 0.2185
Ho2 Ho 0.0917 0.5000 0.9503
Ho3 Ho 0.1374 0.0000 0.6819
Ho4 Ho 0.1803 0.5000 0.4466
Tl1 Tl 0.2201 0.0000 0.1182
Sn1 Sn 0.0000 0.5000 0.5000
```

=====

Record 3
This record from Alexandria via LeMat-Bulk describes a geometry-optimized HoTlSn2 structure. The functional is PBE-GGA.

## Properties
The energy of formation from the pure elements is -0.29 eV per atom. The distance to the lowest polymorph of the same formula is 63 meV per atom. For the total magnetization, the calculation gives 0.000 μB/atom.

Geometry as CIF:
```
data_HoTlSn2
_chemical_formula_sum 'Ho1 Tl1 Sn2'
_cell_length_a 4.1604
_cell_length_b 4.1604
_cell_length_c 6.3745
_cell_angle_alpha 90.00
_cell_angle_beta 90.00
_cell_angle_gamma 90.00
_symmetry_space_group_name_H-M 'P 4/m m m'
_symmetry_Int_Tables_number 123
_symmetry_space_group_name_Hall '-P 4 2'
loop_
_atom_site_label
_atom_site_type_symbol
_atom_site_fract_x
_atom_site_fract_y
_atom_site_fract_z
Ho1 Ho 0.0000 0.0000 0.0000
Tl1 Tl 0.0000 0.0000 0.5000
Sn1 Sn 0.5000 0.5000 0.2345
```